Record 1
This record from Alexandria via LeMat-Bulk describes Ti7P4 at its PBEsol-relaxed geometry. The functional is SCAN.

Cell lengths 7.4527, 7.4527, 13.4684 Å; angles 104.24, 104.24, 25.97 degrees
Positions (direct):
Ti 0.0000 0.0000 0.0000
Ti 0.0030 0.0030 0.6630
Ti 0.1786 0.1786 0.5416
Ti 0.1972 0.1972 0.3075
Ti 0.2061 0.2061 0.7946
Ti 0.3392 0.3392 0.0320
Ti 0.4295 0.4295 0.8286
Ti 0.5000 0.5000 0.5000
Ti 0.5705 0.5705 0.1714
Ti 0.6608 0.6608 0.9680
Ti 0.7939 0.7939 0.2054
Ti 0.8028 0.8028 0.6925
Ti 0.8214 0.8214 0.4584
Ti 0.9970 0.9970 0.3370
P 0.0617 0.0617 0.8492
P 0.1774 0.1774 0.1095
P 0.3703 0.3703 0.3417
P 0.3724 0.3724 0.6040
P 0.6276 0.6276 0.3960
P 0.6297 0.6297 0.6583
P 0.8226 0.8226 0.8905
P 0.9383 0.9383 0.1508

## Properties
Energy of formation (eV/atom): -1.22

***

Record 2
This record from Alexandria via LeMat-Bulk describes Rb2CaMo at its PBEsol-relaxed geometry. The functional is SCAN.

Cell lengths 6.3352, 6.3352, 6.3352 Å; angles 60.00, 60.00, 60.00 degrees
Positions (direct):
Rb 0.2500 0.2500 0.2500
Rb 0.7500 0.7500 0.7500
Ca 0.0000 0.0000 0.0000
Mo 0.5000 0.5000 0.5000

## Properties
Energy of formation (eV/atom): 1.28

***

Record 3
This record from Alexandria via LeMat-Bulk describes CaBeNi2S at its PBEsol-relaxed geometry. The functional is SCAN.

Cell lengths 4.0034, 4.0034, 4.5323 Å; angles 90.00, 90.00, 90.00 degrees
Positions (direct):
Ca 0.0000 0.0000 0.0000
Be 0.5000 0.5000 0.5000
Ni 0.0000 0.5000 0.5000
Ni 0.5000 0.0000 0.5000
S 0.5000 0.5000 0.0000

## Properties
Formation energy from raw total energies (eV/atom): -0.100

***

Record 4
This record from Alexandria via LeMat-Bulk describes SrLi2Ag at its PBEsol-relaxed geometry. The functional is SCAN.

Cell lengths 3.7003, 3.7003, 7.1867 Å; angles 90.00, 90.00, 90.00 degrees
Positions (direct):
Sr 0.0000 0.0000 0.0000
Li 0.0000 0.0000 0.4465
Li 0.5000 0.5000 0.6435
Ag 0.5000 0.5000 0.2739

## Properties
Energy of formation (eV/atom): -0.10

***

Record 5
This record from Alexandria via LeMat-Bulk describes Sr2LiH2 at its PBEsol-relaxed geometry. The functional is SCAN.

Cell lengths 7.6064, 7.6064, 7.6064 Å; angles 148.26, 148.26, 45.51 degrees
Positions (direct):
Sr 0.1573 0.1573 0.0000
Sr 0.8427 0.8427 0.0000
Li 0.5000 0.5000 0.0000
H 0.2500 0.7500 0.5000
H 0.7500 0.2500 0.5000

## Properties
E_tot (eV per atom): -11.132

***

Record 6
This record from Alexandria via LeMat-Bulk describes Mg2Nb2VO8 at its PBEsol-relaxed geometry. The functional is SCAN.

Cell lengths 9.7770, 9.7770, 5.1634 Å; angles 91.27, 91.27, 35.31 degrees
Positions (direct):
Mg 0.0848 0.3716 0.2536
Mg 0.3716 0.0848 0.7536
Mg 0.6284 0.9152 0.2464
Mg 0.9152 0.6284 0.7464
Nb 0.2217 0.5514 0.2539
Nb 0.4486 0.7783 0.2461
Nb 0.5514 0.2217 0.7539
Nb 0.7783 0.4486 0.7461
V 0.1369 0.8631 0.7500
V 0.8631 0.1369 0.2500
O 0.0477 0.3322 0.6125
O 0.0666 0.8230 0.0803
O 0.1770 0.9334 0.4197
O 0.2158 0.4129 0.9574
O 0.3127 0.5544 0.6011
O 0.3322 0.0477 0.1125
O 0.4129 0.2158 0.4574
O 0.4456 0.6873 0.8989
O 0.5544 0.3127 0.1011
O 0.5871 0.7842 0.5426
O 0.6678 0.9523 0.8875
O 0.6873 0.4456 0.3989
O 0.7842 0.5871 0.0426
O 0.8230 0.0666 0.5803
O 0.9334 0.1770 0.9197
O 0.9523 0.6678 0.3875

## Properties
Formation energy from raw total energies (eV/atom): -2.806

***

Record 7
This record from Alexandria via LeMat-Bulk describes YRe4Si2 at its PBEsol-relaxed geometry. The functional is SCAN.

Cell lengths 7.3393, 7.3393, 4.0967 Å; angles 90.00, 90.00, 90.00 degrees
Positions (direct):
Y 0.0000 0.0000 0.0000
Y 0.5000 0.5000 0.5000
Re 0.0939 0.3429 0.5000
Re 0.1571 0.5939 0.0000
Re 0.3429 0.0939 0.5000
Re 0.4061 0.8429 0.0000
Re 0.5939 0.1571 0.0000
Re 0.6571 0.9061 0.5000
Re 0.8429 0.4061 0.0000
Re 0.9061 0.6571 0.5000
Si 0.2088 0.7912 0.5000
Si 0.2912 0.2912 0.0000
Si 0.7088 0.7088 0.0000
Si 0.7912 0.2088 0.5000

## Properties
Formation energy from raw total energies (eV/atom): -0.533

***

Record 8
This record from Alexandria via LeMat-Bulk describes ScCu2 at its PBEsol-relaxed geometry. The functional is SCAN.

Cell lengths 6.3674, 6.3674, 4.2552 Å; angles 90.00, 90.00, 149.30 degrees
Positions (direct):
Sc 0.0935 0.9065 0.7500
Sc 0.9065 0.0935 0.2500
Cu 0.2354 0.7646 0.2500
Cu 0.4176 0.5824 0.7500
Cu 0.5824 0.4176 0.2500
Cu 0.7646 0.2354 0.7500

## Properties
Energy of formation (eV/atom): -0.20

***

Record 9
This record from Alexandria via LeMat-Bulk describes Rh at its PBEsol-relaxed geometry. The functional is SCAN.

Cell lengths 2.6701, 2.6701, 2.6701 Å; angles 60.00, 60.00, 60.00 degrees
Positions (direct):
Rh 0.0000 0.0000 0.0000

## Properties
Energy of formation (eV/atom): 0.00

***

Record 10
This record from Alexandria via LeMat-Bulk describes KTa2InSe at its PBEsol-relaxed geometry. The functional is SCAN.

Cell lengths 5.2167, 5.2167, 5.5873 Å; angles 90.00, 90.00, 90.00 degrees
Positions (direct):
K 0.0000 0.0000 0.0000
Ta 0.0000 0.5000 0.5000
Ta 0.5000 0.0000 0.5000
In 0.5000 0.5000 0.5000
Se 0.5000 0.5000 0.0000

## Properties
Formation energy from raw total energies (eV/atom): 1.709

***

Record 11
This record from Alexandria via LeMat-Bulk describes KGaCuF6 at its PBEsol-relaxed geometry. The functional is SCAN.

Cell lengths 7.3072, 9.8869, 6.6825 Å; angles 90.00, 94.24, 90.00 degrees
Positions (direct):
K 0.2390 0.1151 0.0017
K 0.2390 0.3849 0.5017
K 0.7610 0.6151 0.4983
K 0.7610 0.8849 0.9983
Ga 0.0000 0.0000 0.5000
Ga 0.0000 0.5000 0.0000
Ga 0.5000 0.0000 0.5000
Ga 0.5000 0.5000 0.0000
Cu 0.2575 0.7324 0.3210
Cu 0.2575 0.7676 0.8210
Cu 0.7425 0.2324 0.1790
Cu 0.7425 0.2676 0.6790
F 0.0311 0.1627 0.6359
F 0.0311 0.3373 0.1359
F 0.0756 0.5924 0.2440
F 0.0756 0.9076 0.7440
F 0.2440 0.6650 0.5829
F 0.2440 0.8350 0.0829
F 0.2451 0.0192 0.4104
F 0.2451 0.4808 0.9104
F 0.4453 0.5532 0.2559
F 0.4453 0.9468 0.7559
F 0.4916 0.6846 0.9098
F 0.4916 0.8154 0.4098
F 0.5084 0.1846 0.5902
F 0.5084 0.3154 0.0902
F 0.5547 0.0532 0.2441
F 0.5547 0.4468 0.7441
F 0.7549 0.5192 0.0896
F 0.7549 0.9808 0.5896
F 0.7560 0.1650 0.9171
F 0.7560 0.3350 0.4171
F 0.9244 0.0924 0.2560
F 0.9244 0.4076 0.7560
F 0.9689 0.6627 0.8641
F 0.9689 0.8373 0.3641

## Properties
Formation energy from raw total energies (eV/atom): -2.577

***

Record 12
This record from Alexandria via LeMat-Bulk describes La2AlCl at its PBEsol-relaxed geometry. The functional is SCAN.

Cell lengths 8.2814, 8.2814, 8.2814 Å; angles 153.81, 153.75, 37.42 degrees
Positions (direct):
La 0.0000 0.0000 0.0000
La 0.7336 0.2336 0.5000
Al 0.3449 0.8449 0.5000
Cl 0.5834 0.5834 0.0000

## Properties
Formation energy from raw total energies (eV/atom): -0.904

***

Record 13
This record from Alexandria via LeMat-Bulk describes MnTl2Sb at its PBEsol-relaxed geometry. The functional is SCAN.

Cell lengths 10.1617, 10.1617, 10.1617 Å; angles 18.64, 18.64, 18.64 degrees
Positions (direct):
Mn 0.0000 0.0000 0.0000
Tl 0.2597 0.2597 0.2597
Tl 0.7403 0.7403 0.7403
Sb 0.5000 0.5000 0.5000

## Properties
Formation energy from raw total energies (eV/atom): 0.263

***

Record 14
This record from Alexandria via LeMat-Bulk describes TlAg3Mo at its PBEsol-relaxed geometry. The functional is SCAN.

Cell lengths 5.0641, 5.0641, 5.0641 Å; angles 90.00, 90.00, 90.00 degrees
Positions (direct):
Tl 0.0000 0.0000 0.0000
Ag 0.0000 0.0000 0.5000
Ag 0.0000 0.5000 0.0000
Ag 0.5000 0.0000 0.0000
Mo 0.5000 0.5000 0.5000

## Properties
Energy of formation (eV/atom): 1.39

***

Record 15
This record from Alexandria via LeMat-Bulk describes K2IF at its PBEsol-relaxed geometry. The functional is SCAN.

Cell lengths 6.9780, 6.9780, 6.9780 Å; angles 112.60, 112.60, 103.37 degrees
Positions (direct):
K 0.0271 0.6250 0.9021
K 0.3750 0.2771 0.4021
K 0.7229 0.1250 0.0979
K 0.8750 0.9729 0.5979
I 0.2500 0.7500 0.5000
I 0.5000 0.5000 0.0000
F 0.0000 0.0000 0.0000
F 0.7500 0.2500 0.5000

## Properties
Formation energy from raw total energies (eV/atom): -2.199

***

Record 16
This record from Alexandria via LeMat-Bulk describes RbAgTe2 at its PBEsol-relaxed geometry. The functional is SCAN.

Cell lengths 10.0675, 10.0675, 10.0675 Å; angles 145.94, 145.94, 48.93 degrees
Positions (direct):
Rb 0.0000 0.0000 0.0000
Rb 0.7500 0.2500 0.5000
Ag 0.2500 0.7500 0.5000
Ag 0.5000 0.5000 0.0000
Te 0.3069 0.6250 0.1819
Te 0.3750 0.5569 0.6819
Te 0.4431 0.1250 0.8181
Te 0.8750 0.6931 0.3181

## Properties
Formation energy from raw total energies (eV/atom): -0.468

***

Record 17
This record from Alexandria via LeMat-Bulk describes TaFeAg2H at its PBEsol-relaxed geometry. The functional is SCAN.

Cell lengths 3.8243, 3.8243, 4.3721 Å; angles 90.00, 90.00, 90.00 degrees
Positions (direct):
Ta 0.0000 0.0000 0.0000
Fe 0.5000 0.5000 0.0000
Ag 0.0000 0.5000 0.5000
Ag 0.5000 0.0000 0.5000
H 0.5000 0.5000 0.5000

## Properties
E_tot (eV per atom): -29.543

***

Record 18
This record from Alexandria via LeMat-Bulk describes MnCd2CoO at its PBEsol-relaxed geometry. The functional is SCAN.

Cell lengths 4.7921, 4.7921, 4.0462 Å; angles 90.00, 90.00, 90.00 degrees
Positions (direct):
Mn 0.0000 0.0000 0.0000
Cd 0.0000 0.5000 0.5000
Cd 0.5000 0.0000 0.5000
Co 0.0000 0.0000 0.5000
O 0.5000 0.5000 0.0000

## Properties
Formation energy from raw total energies (eV/atom): 0.822

***

Record 19
This record from Alexandria via LeMat-Bulk describes CrPRh2 at its PBEsol-relaxed geometry. The functional is SCAN.

Cell lengths 8.0276, 8.0276, 8.0276 Å; angles 19.40, 19.40, 19.40 degrees
Positions (direct):
Cr 0.0000 0.0000 0.0000
P 0.2585 0.2585 0.2585
Rh 0.5152 0.5152 0.5152
Rh 0.7505 0.7505 0.7505

## Properties
Energy of formation (eV/atom): -0.16

***

Record 20
This record from Alexandria via LeMat-Bulk describes Mg3RePt at its PBEsol-relaxed geometry. The functional is SCAN.

Cell lengths 4.8824, 4.8824, 4.8824 Å; angles 90.00, 90.00, 90.00 degrees
Positions (direct):
Mg 0.0000 0.0000 0.5000
Mg 0.0000 0.5000 0.0000
Mg 0.5000 0.0000 0.0000
Re 0.0000 0.0000 0.0000
Pt 0.5000 0.5000 0.5000

## Properties
Energy of formation (eV/atom): 1.34

***

Record 21
This record from Alexandria via LeMat-Bulk describes Ho3ScO6 at its PBEsol-relaxed geometry. The functional is SCAN.

Cell lengths 6.4953, 6.4953, 6.4953 Å; angles 92.03, 92.03, 92.03 degrees
Positions (direct):
Ho 0.0612 0.5684 0.7527
Ho 0.2473 0.9388 0.4316
Ho 0.4316 0.2473 0.9388
Ho 0.5684 0.7527 0.0612
Ho 0.7527 0.0612 0.5684
Ho 0.9388 0.4316 0.2473
Sc 0.0000 0.0000 0.0000
Sc 0.5000 0.5000 0.5000
O 0.0363 0.9065 0.6924
O 0.0935 0.3076 0.9637
O 0.1927 0.5872 0.4305
O 0.3076 0.9637 0.0935
O 0.4128 0.5695 0.8073
O 0.4305 0.1927 0.5872
O 0.5695 0.8073 0.4128
O 0.5872 0.4305 0.1927
O 0.6924 0.0363 0.9065
O 0.8073 0.4128 0.5695
O 0.9065 0.6924 0.0363
O 0.9637 0.0935 0.3076

## Properties
Formation energy from raw total energies (eV/atom): -3.947

***

Record 22
This record from Alexandria via LeMat-Bulk describes Tc2OsPb at its PBEsol-relaxed geometry. The functional is SCAN.

Cell lengths 3.0789, 4.5307, 4.5818 Å; angles 90.00, 90.00, 90.00 degrees
Positions (direct):
Tc 0.0000 0.0000 0.0000
Tc 0.5000 0.0000 0.5000
Os 0.0000 0.5000 0.5000
Pb 0.5000 0.5000 0.0000

## Properties
Energy of formation (eV/atom): 0.84

***

Record 23
This record from Alexandria via LeMat-Bulk describes SrYTc2 at its PBEsol-relaxed geometry. The functional is SCAN.

Cell lengths 2.9815, 2.9815, 9.4593 Å; angles 90.00, 90.00, 108.42 degrees
Positions (direct):
Sr 0.0000 0.0000 0.0000
Y 0.0000 0.0000 0.5000
Tc 0.5000 0.5000 0.2659
Tc 0.5000 0.5000 0.7341

## Properties
Energy of formation (eV/atom): 0.82

***

Record 24
This record from Alexandria via LeMat-Bulk describes Tl3NiPt at its PBEsol-relaxed geometry. The functional is SCAN.

Cell lengths 5.1999, 5.1999, 5.1999 Å; angles 90.00, 90.00, 90.00 degrees
Positions (direct):
Tl 0.0000 0.0000 0.5000
Tl 0.0000 0.5000 0.0000
Tl 0.5000 0.0000 0.0000
Ni 0.5000 0.5000 0.5000
Pt 0.0000 0.0000 0.0000

## Properties
Energy of formation (eV/atom): 0.62